No. 1
TbDyHoTh2: relaxed, GGA-PBE.

Geometry as POSCAR:
```
TbDyHoTh2
1.0
3.323 -7.789 0.000
3.323 7.789 0.000
0.000 0.000 6.649
Tb Dy Ho Th
2 2 2 4
Direct
0.248 0.752 0.750 Tb
0.752 0.248 0.250 Tb
0.152 0.848 0.250 Dy
0.848 0.152 0.750 Dy
0.348 0.652 0.250 Ho
0.652 0.348 0.750 Ho
0.250 0.250 0.000 Th
0.250 0.250 0.500 Th
0.750 0.750 0.000 Th
0.750 0.750 0.500 Th
```

Density of states at the Fermi level, states/eV/f.u.: 6.96
SG: Cmcm
Energy of formation from the pure elements, eV per atom: 0.41

No. 2
Ce6PmIn2: relaxed, GGA-PBE.

Geometry as POSCAR:
```
Ce6PmIn2
1.0
9.466 0.000 0.000
-4.733 8.198 0.000
0.000 0.000 3.139
Ce Pm In
6 1 2
Direct
0.000 0.351 0.000 Ce
0.000 0.649 0.000 Ce
0.351 0.000 0.000 Ce
0.351 0.351 0.000 Ce
0.649 0.000 0.000 Ce
0.649 0.649 0.000 Ce
0.000 0.000 0.500 Pm
0.333 0.667 0.500 In
0.667 0.333 0.500 In
```

Density of states at the Fermi level, states/eV/f.u.: 21.42
SG: P6/mmm
Energy of formation from the pure elements, eV per atom: -0.12

No. 3
TbGdCuRu: relaxed, GGA-PBE.

Geometry as POSCAR:
```
TbGdCuRu
1.0
0.000 3.457 3.457
3.457 0.000 3.457
3.457 3.457 0.000
Tb Gd Cu Ru
1 1 1 1
Direct
0.000 0.000 0.000 Tb
0.500 0.500 0.500 Gd
0.750 0.750 0.750 Cu
0.250 0.250 0.250 Ru
```

Density of states at the Fermi level, states/eV/f.u.: 3.01
SG: F-43m
Energy of formation from the pure elements, eV per atom: -0.30

No. 4
GdHS: relaxed, GGA-PBE.

Geometry as POSCAR:
```
GdHS
1.0
0.000 3.095 3.095
3.095 0.000 3.095
3.095 3.095 0.000
Gd H S
1 1 1
Direct
0.000 0.000 0.000 Gd
0.750 0.750 0.750 H
0.250 0.250 0.250 S
```

SG: F-43m
Final energy, eV per atom: -8.465

No. 5
Ce8Tc2Os3: relaxed, GGA-PBE.

Geometry as POSCAR:
```
Ce8Tc2Os3
1.0
7.559 -3.705 0.000
7.559 3.705 0.000
-2.707 0.000 6.329
Ce Tc Os
8 2 3
Direct
0.102 0.102 0.417 Ce
0.140 0.627 0.091 Ce
0.358 0.358 0.578 Ce
0.373 0.860 0.909 Ce
0.627 0.140 0.091 Ce
0.642 0.642 0.422 Ce
0.860 0.373 0.909 Ce
0.898 0.898 0.583 Ce
0.259 0.259 0.765 Tc
0.741 0.741 0.235 Tc
0.000 0.000 0.000 Os
0.307 0.693 0.500 Os
0.693 0.307 0.500 Os
```

Density of states at the Fermi level, states/eV/f.u.: 26.30
SG: C2/m
Energy of formation from the pure elements, eV per atom: -0.02

No. 6
TmPu2Tl3: relaxed, GGA-PBE.

Geometry as POSCAR:
```
TmPu2Tl3
1.0
3.359 0.000 0.000
0.000 3.359 0.000
0.000 0.000 14.171
Tm Pu Tl
1 2 3
Direct
0.000 0.000 0.000 Tm
0.000 0.000 0.330 Pu
0.000 0.000 0.670 Pu
0.500 0.500 0.161 Tl
0.500 0.500 0.500 Tl
0.500 0.500 0.839 Tl
```

Density of states at the Fermi level, states/eV/f.u.: 15.16
SG: P4/mmm
Energy of formation from the pure elements, eV per atom: -0.11

No. 7
CaMnGe2Ir: relaxed, GGA-PBE.

Geometry as POSCAR:
```
CaMnGe2Ir
1.0
-2.035 2.035 5.429
2.035 -2.035 5.429
2.035 2.035 -5.429
Ca Mn Ge Ir
1 1 2 1
Direct
0.000 0.000 0.000 Ca
0.750 0.250 0.500 Mn
0.380 0.380 0.000 Ge
0.620 0.620 0.000 Ge
0.250 0.750 0.500 Ir
```

Density of states at the Fermi level, states/eV/f.u.: 1.65
SG: I-4m2
Energy of formation from the pure elements, eV per atom: -0.52

No. 8
LaRe2Pt: relaxed, GGA-PBE.

Geometry as POSCAR:
```
LaRe2Pt
1.0
2.774 -5.074 0.000
2.774 5.074 0.000
-1.099 0.000 2.602
La Re Pt
1 2 1
Direct
0.000 0.000 0.000 La
0.000 0.500 0.500 Re
0.500 0.000 0.500 Re
0.500 0.500 0.000 Pt
```

Density of states at the Fermi level, states/eV/f.u.: 4.20
Energy relative to the lowest polymorph listed for this composition, meV/atom: 453
SG: C2/m
Energy of formation from the pure elements, eV per atom: 0.42

No. 9
Ti3CdFe: relaxed, GGA-PBE.

Geometry as POSCAR:
```
Ti3CdFe
1.0
4.527 0.000 0.000
0.000 4.527 0.000
0.000 0.000 4.527
Ti Cd Fe
3 1 1
Direct
0.000 0.000 0.500 Ti
0.000 0.500 0.000 Ti
0.500 0.000 0.000 Ti
0.500 0.500 0.500 Cd
0.000 0.000 0.000 Fe
```

Density of states at the Fermi level, states/eV/f.u.: 8.20
Energy relative to the lowest polymorph listed for this composition, meV/atom: 0
SG: Pm-3m
Energy of formation from the pure elements, eV per atom: 0.23

No. 10
Y3Tm2Ga2: relaxed, GGA-PBE.

Geometry as POSCAR:
```
Y3Tm2Ga2
1.0
6.496 -1.848 0.000
6.496 1.848 0.000
-3.612 0.000 7.977
Y Tm Ga
3 2 2
Direct
0.000 0.000 0.000 Y
0.112 0.112 0.438 Y
0.888 0.888 0.562 Y
0.354 0.354 0.190 Tm
0.646 0.646 0.810 Tm
0.314 0.314 0.783 Ga
0.686 0.686 0.217 Ga
```

Density of states at the Fermi level, states/eV/f.u.: 6.92
SG: C2/m
Energy of formation from the pure elements, eV per atom: -0.35

No. 11
HfZnGaP2: relaxed, GGA-PBE.

Geometry as POSCAR:
```
HfZnGaP2
1.0
4.662 0.000 0.000
0.000 4.662 0.000
0.000 0.000 4.492
Hf Zn Ga P
1 1 1 2
Direct
0.000 0.000 0.000 Hf
0.500 0.500 0.500 Zn
0.500 0.500 0.000 Ga
0.000 0.500 0.500 P
0.500 0.000 0.500 P
```

Density of states at the Fermi level, states/eV/f.u.: 2.39
Energy relative to the lowest polymorph listed for this composition, meV/atom: 238
SG: P4/mmm
Energy of formation from the pure elements, eV per atom: 0.62

No. 12
AcY2HoSe4: relaxed, GGA-PBE.

Geometry as POSCAR:
```
AcY2HoSe4
1.0
7.189 0.000 0.000
0.000 4.106 0.000
-2.354 0.000 7.007
Ac Y Ho Se
1 2 1 4
Direct
0.000 0.000 0.000 Ac
0.500 0.000 0.500 Y
0.500 0.500 0.000 Y
0.000 0.500 0.500 Ho
0.256 0.000 0.738 Se
0.267 0.500 0.270 Se
0.733 0.500 0.730 Se
0.744 0.000 0.262 Se
```

Density of states at the Fermi level, states/eV/f.u.: 4.44
SG: P2/m
Final energy, eV per atom: -6.189

No. 13
Ac3AlAg8: relaxed, GGA-PBE.

Geometry as POSCAR:
```
Ac3AlAg8
1.0
2.944 1.700 9.553
-2.944 1.700 9.553
0.000 -3.400 9.553
Ac Al Ag
3 1 8
Direct
0.000 0.000 0.000 Ac
0.127 0.127 0.127 Ac
0.611 0.611 0.611 Ac
0.483 0.483 0.483 Al
0.055 0.055 0.564 Ag
0.055 0.564 0.055 Ag
0.063 0.560 0.560 Ag
0.308 0.308 0.308 Ag
0.560 0.063 0.560 Ag
0.560 0.560 0.063 Ag
0.564 0.055 0.055 Ag
0.810 0.810 0.810 Ag
```

Density of states at the Fermi level, states/eV/f.u.: 7.31
SG: R3m
Energy of formation from the pure elements, eV per atom: -0.13

No. 14
SrGeIrSe2: relaxed, GGA-PBE.

Geometry as POSCAR:
```
SrGeIrSe2
1.0
5.575 0.000 0.000
0.000 5.575 0.000
0.000 0.000 5.714
Sr Ge Ir Se
1 1 1 2
Direct
0.000 0.000 0.000 Sr
0.000 0.000 0.500 Ge
0.500 0.500 0.500 Ir
0.000 0.500 0.000 Se
0.500 0.000 0.000 Se
```

Density of states at the Fermi level, states/eV/f.u.: 8.66
SG: P4/mmm
Final energy, eV per atom: -2.955

No. 15
Tl3ZnCd2F9: relaxed, GGA-PBE.

Geometry as POSCAR:
```
Tl3ZnCd2F9
1.0
6.201 0.000 0.000
-3.100 5.370 0.000
0.000 0.000 7.606
Tl Zn Cd F
3 1 2 9
Direct
0.000 0.000 0.000 Tl
0.333 0.667 0.668 Tl
0.667 0.333 0.332 Tl
0.000 0.000 0.500 Zn
0.333 0.667 0.179 Cd
0.667 0.333 0.821 Cd
0.000 0.500 0.000 F
0.158 0.317 0.344 F
0.158 0.842 0.344 F
0.317 0.158 0.656 F
0.500 0.000 0.000 F
0.500 0.500 0.000 F
0.683 0.842 0.344 F
0.842 0.158 0.656 F
0.842 0.683 0.656 F
```

Density of states at the Fermi level, states/eV/f.u.: 0.00
SG: P-3m1
Final energy, eV per atom: -3.871

No. 16
Sr2SmUP4: relaxed, GGA-PBE.

Geometry as POSCAR:
```
Sr2SmUP4
1.0
7.190 0.000 0.000
0.000 4.181 0.000
-2.390 0.000 6.946
Sr Sm U P
2 1 1 4
Direct
0.000 0.000 0.000 Sr
0.500 0.500 0.000 Sr
0.000 0.500 0.500 Sm
0.500 0.000 0.500 U
0.257 0.000 0.718 P
0.275 0.500 0.287 P
0.725 0.500 0.713 P
0.743 0.000 0.282 P
```

Density of states at the Fermi level, states/eV/f.u.: 5.25
SG: P2/m
Energy of formation from the pure elements, eV per atom: -1.17

No. 17
Ca2NiAg: relaxed, GGA-PBE.

Geometry as POSCAR:
```
Ca2NiAg
1.0
-3.910 3.910 3.156
3.910 -3.910 3.156
3.910 3.910 -3.156
Ca Ni Ag
4 2 2
Direct
0.091 0.125 0.466 Ca
0.375 0.909 0.034 Ca
0.659 0.625 0.534 Ca
0.875 0.341 0.966 Ca
0.000 0.000 0.000 Ni
0.750 0.250 0.500 Ni
0.250 0.750 0.500 Ag
0.500 0.500 0.000 Ag
```

Density of states at the Fermi level, states/eV/f.u.: 1.68
SG: I-42d
Energy of formation from the pure elements, eV per atom: 0.12

No. 18
Ba6Bi3O: relaxed, GGA-PBE.

Geometry as POSCAR:
```
Ba6Bi3O
1.0
6.834 -8.517 0.000
6.834 8.517 0.000
0.000 0.000 8.156
Ba Bi O
12 6 2
Direct
0.052 0.948 0.500 Ba
0.112 0.594 0.476 Ba
0.214 0.786 0.932 Ba
0.325 0.359 0.935 Ba
0.359 0.325 0.435 Ba
0.406 0.888 0.476 Ba
0.594 0.112 0.976 Ba
0.641 0.675 0.935 Ba
0.675 0.641 0.435 Ba
0.786 0.214 0.432 Ba
0.888 0.406 0.976 Ba
0.948 0.052 0.000 Ba
0.071 0.283 0.666 Bi
0.283 0.071 0.166 Bi
0.380 0.620 0.214 Bi
0.620 0.380 0.714 Bi
0.717 0.929 0.666 Bi
0.929 0.717 0.166 Bi
0.191 0.809 0.615 O
0.809 0.191 0.115 O
```

Density of states at the Fermi level, states/eV/f.u.: 3.78
SG: Cmc2_1
Final energy, eV per atom: -3.976

No. 19
NaY2Zr: relaxed, GGA-PBE.

Geometry as POSCAR:
```
NaY2Zr
1.0
-2.320 2.320 11.086
2.320 -2.320 11.086
2.320 2.320 -11.086
Na Y Zr
2 4 2
Direct
0.000 0.000 0.000 Na
0.750 0.250 0.500 Na
0.132 0.625 0.007 Y
0.375 0.382 0.507 Y
0.618 0.125 0.993 Y
0.875 0.868 0.493 Y
0.250 0.750 0.500 Zr
0.500 0.500 0.000 Zr
```

Density of states at the Fermi level, states/eV/f.u.: 6.61
Energy relative to the lowest polymorph listed for this composition, meV/atom: 653
SG: I-42d
Energy of formation from the pure elements, eV per atom: 0.77

No. 20
BaZrOs2: relaxed, GGA-PBE.

Geometry as POSCAR:
```
BaZrOs2
1.0
-1.531 2.702 5.398
1.531 -2.702 5.398
1.531 2.702 -5.398
Ba Zr Os
1 1 2
Direct
0.000 0.000 0.000 Ba
0.693 0.193 0.500 Zr
0.285 0.785 0.500 Os
0.472 0.472 0.000 Os
```

Density of states at the Fermi level, states/eV/f.u.: 4.00
Energy relative to the lowest polymorph listed for this composition, meV/atom: 496
SG: Imm2
Energy of formation from the pure elements, eV per atom: 0.69

No. 21
BaNaSr2Li: relaxed, GGA-PBE.

Geometry as POSCAR:
```
BaNaSr2Li
1.0
6.438 0.000 0.000
0.000 6.438 0.000
0.000 0.000 6.581
Ba Na Sr Li
1 1 2 1
Direct
0.000 0.000 0.000 Ba
0.500 0.500 0.000 Na
0.000 0.500 0.500 Sr
0.500 0.000 0.500 Sr
0.000 0.000 0.500 Li
```

Density of states at the Fermi level, states/eV/f.u.: 4.47
Energy relative to the lowest polymorph listed for this composition, meV/atom: 28
SG: P4/mmm
Energy of formation from the pure elements, eV per atom: 0.17

No. 22
Sr2InGePd6: relaxed, GGA-PBE.

Geometry as POSCAR:
```
Sr2InGePd6
1.0
5.692 0.000 0.000
2.839 6.063 0.000
2.844 0.389 6.472
Sr In Ge Pd
2 1 1 6
Direct
0.247 0.220 0.286 Sr
0.753 0.780 0.714 Sr
0.500 0.500 0.500 In
0.000 0.000 0.000 Ge
0.243 0.244 0.776 Pd
0.247 0.604 0.900 Pd
0.264 0.755 0.223 Pd
0.736 0.245 0.777 Pd
0.753 0.396 0.100 Pd
0.757 0.756 0.224 Pd
```

Density of states at the Fermi level, states/eV/f.u.: 2.95
SG: P-1
Energy of formation from the pure elements, eV per atom: -0.57

No. 23
Sr2Bi2Pb: relaxed, GGA-PBE.

Geometry as POSCAR:
```
Sr2Bi2Pb
1.0
-3.320 3.320 4.697
3.320 -3.320 4.697
3.320 3.320 -4.697
Sr Bi Pb
2 2 1
Direct
0.250 0.750 0.500 Sr
0.750 0.250 0.500 Sr
0.170 0.170 0.000 Bi
0.830 0.830 0.000 Bi
0.500 0.500 0.000 Pb
```

Density of states at the Fermi level, states/eV/f.u.: 4.70
Energy relative to the lowest polymorph listed for this composition, meV/atom: 279
SG: I4/mmm
Energy of formation from the pure elements, eV per atom: -0.35

No. 24
Rb3NaH8Pd2: relaxed, GGA-PBE.

Geometry as POSCAR:
```
Rb3NaH8Pd2
1.0
5.876 0.000 0.000
-2.938 5.089 0.000
0.000 0.000 8.315
Rb Na H Pd
3 1 8 2
Direct
0.000 0.000 0.000 Rb
0.333 0.667 0.723 Rb
0.667 0.333 0.277 Rb
0.000 0.000 0.500 Na
0.211 0.422 0.408 H
0.211 0.789 0.408 H
0.333 0.667 0.065 H
0.422 0.211 0.592 H
0.578 0.789 0.408 H
0.667 0.333 0.935 H
0.789 0.211 0.592 H
0.789 0.578 0.592 H
0.333 0.667 0.276 Pd
0.667 0.333 0.724 Pd
```

Density of states at the Fermi level, states/eV/f.u.: 7.17
SG: P-3m1
Final energy, eV per atom: -2.920